The following is a PBE-GGA calculation of a relaxed TlRe2SeO crystal, from the Alexandria database.

Calculated values
- Energy relative to the lowest polymorph listed for this composition: 2.446 eV/f.u.
- ΔE_f (raw): 1341 meV/atom

Geometry as POSCAR:
```
TlRe2SeO
1.0
4.804 0.000 0.000
0.000 4.804 0.000
0.000 0.000 3.814
Tl Re Se O
1 2 1 1
Direct
0.000 0.000 0.000
0.000 0.500 0.500
0.500 0.000 0.500
0.500 0.500 0.500
0.500 0.500 0.000
```